Entry 1:
## LiAsIr2 (PBE)

Data for a relaxed structure of LiAsIr2.

Lattice parameters (Å, degrees): 2.8180 4.8261 8.9200 90.00 90.00 90.00
Sites, in units of the cell vectors:
1 Li 0.0000 0.0000 0.0000
2 Li 0.5000 0.5000 0.0000
3 As 0.0000 0.5000 0.2632
4 As 0.5000 0.0000 0.2632
5 Ir 0.0000 0.0000 0.4996
6 Ir 0.0000 0.5000 0.7605
7 Ir 0.5000 0.0000 0.7605
8 Ir 0.5000 0.5000 0.4996

Calculated values
- space-group type = Cmm2, No. 35
- DOS(E_F) (states/eV/atom) = 0.7536
- calculated density (g cm⁻³) = 12.77
- DFT formation energy (eV per formula unit) = 0.50

***

Entry 2:
## Sm5TmTe6 (PBE)

Data for a relaxed structure of Sm5TmTe6.

Lattice parameters (Å, degrees): 7.6653 7.6653 7.6390 99.58 99.58 120.03
Sites, in units of the cell vectors:
1 Sm 0.0000 0.0000 0.0000
2 Sm 0.1680 0.8320 0.5000
3 Sm 0.3246 0.6754 0.0000
4 Sm 0.6754 0.3246 0.0000
5 Sm 0.8320 0.1680 0.5000
6 Tm 0.5000 0.5000 0.5000
7 Te 0.0954 0.4186 0.2562
8 Te 0.2594 0.2594 0.7501
9 Te 0.4186 0.0954 0.2562
10 Te 0.5814 0.9046 0.7438
11 Te 0.7406 0.7406 0.2499
12 Te 0.9046 0.5814 0.7438

Calculated values
- calculated total energy (eV per atom) = -5.26
- space-group type = C2/m, No. 12
- DOS(E_F) (states/eV/atom) = 0.4538
- calculated density (g cm⁻³) = 7.64

***

Entry 3:
## CsNaGeAu (PBE)

Data for a relaxed structure of CsNaGeAu.

Lattice parameters (Å, degrees): 8.0627 4.6564 7.7325 90.00 110.50 90.00
Sites, in units of the cell vectors:
1 Cs 0.0000 0.0000 0.0000
2 Cs 0.5000 0.5000 0.0000
3 Na 0.1852 0.0000 0.5514
4 Na 0.6852 0.5000 0.5514
5 Ge 0.2888 0.5000 0.3634
6 Ge 0.7888 0.0000 0.3634
7 Au 0.4570 0.0000 0.3680
8 Au 0.9570 0.5000 0.3680

Calculated values
- space-group type = Cm, No. 8
- DOS(E_F) (states/eV/atom) = 0.8049
- calculated density (g cm⁻³) = 5.20
- DFT formation energy (eV per formula unit) = -0.75

***

Entry 4:
## KRh2I (PBE)

Data for a relaxed structure of KRh2I.

Lattice parameters (Å, degrees): 6.8643 6.8643 6.8643 90.00 90.00 90.00
Sites, in units of the cell vectors:
1 K 0.0000 0.0000 0.0000
2 K 0.0000 0.5000 0.5000
3 K 0.5000 0.0000 0.5000
4 K 0.5000 0.5000 0.0000
5 Rh 0.2500 0.2500 0.2500
6 Rh 0.2500 0.2500 0.7500
7 Rh 0.2500 0.7500 0.2500
8 Rh 0.2500 0.7500 0.7500
9 Rh 0.7500 0.2500 0.2500
10 Rh 0.7500 0.2500 0.7500
11 Rh 0.7500 0.7500 0.2500
12 Rh 0.7500 0.7500 0.7500
13 I 0.0000 0.0000 0.5000
14 I 0.0000 0.5000 0.0000
15 I 0.5000 0.0000 0.0000
16 I 0.5000 0.5000 0.5000

Calculated values
- space-group type = Fm-3m, No. 225
- energy relative to the lowest polymorph listed for this composition (meV/atom) = 438.9
- DOS(E_F) (states/eV/atom) = 0.7033
- calculated density (g cm⁻³) = 7.64

***

Entry 5:
## SrV2Fe (PBE)

Data for a relaxed structure of SrV2Fe.

Lattice parameters (Å, degrees): 4.8574 4.8574 15.9702 90.00 90.00 90.00
Sites, in units of the cell vectors:
1 Sr 0.0000 0.2500 0.3750
2 Sr 0.0000 0.7500 0.6250
3 Sr 0.5000 0.2500 0.1250
4 Sr 0.5000 0.7500 0.8750
5 V 0.0000 0.0000 0.0000
6 V 0.0000 0.5000 0.0000
7 V 0.2500 0.2500 0.7500
8 V 0.2500 0.7500 0.2500
9 V 0.5000 0.0000 0.5000
10 V 0.5000 0.5000 0.5000
11 V 0.7500 0.2500 0.7500
12 V 0.7500 0.7500 0.2500
13 Fe 0.0000 0.2500 0.8750
14 Fe 0.0000 0.7500 0.1250
15 Fe 0.5000 0.2500 0.6250
16 Fe 0.5000 0.7500 0.3750

Calculated values
- space-group type = I4_1/amd, No. 141
- energy relative to the lowest polymorph listed for this composition (meV/atom) = 29.0
- DOS(E_F) (states/eV/atom) = 1.5097
- calculated density (g cm⁻³) = 4.32
- DFT formation energy (eV per formula unit) = 4.12

***

Entry 6:
## HoSc2N (PBE)

Data for a relaxed structure of HoSc2N.

Lattice parameters (Å, degrees): 3.2449 3.2449 26.5936 90.00 90.00 120.00
Sites, in units of the cell vectors:
1 Ho 0.0000 0.0000 0.0000
2 Ho 0.3333 0.6667 0.6667
3 Ho 0.6667 0.3333 0.3333
4 Sc 0.0000 0.0000 0.1215
5 Sc 0.0000 0.0000 0.8785
6 Sc 0.3333 0.6667 0.5451
7 Sc 0.3333 0.6667 0.7882
8 Sc 0.6667 0.3333 0.2118
9 Sc 0.6667 0.3333 0.4549
10 N 0.0000 0.0000 0.5000
11 N 0.3333 0.6667 0.1667
12 N 0.6667 0.3333 0.8333

Calculated values
- space-group type = R-3m, No. 166
- energy relative to the lowest polymorph listed for this composition (meV/atom) = 0.0
- DOS(E_F) (states/eV/atom) = 1.2648
- calculated density (g cm⁻³) = 5.52

***

Entry 7:
## CeNdIn2Se4 (PBE)

Data for a relaxed structure of CeNdIn2Se4.

Lattice parameters (Å, degrees): 7.4486 4.3051 8.1009 90.00 107.85 90.00
Sites, in units of the cell vectors:
1 Ce 0.0000 0.0000 0.0000
2 Nd 0.5000 0.5000 0.0000
3 In 0.0000 0.5000 0.5000
4 In 0.5000 0.0000 0.5000
5 Se 0.2376 0.5000 0.2141
6 Se 0.2616 0.0000 0.7854
7 Se 0.7384 0.0000 0.2146
8 Se 0.7624 0.5000 0.7859

Calculated values
- calculated total energy (eV per atom) = -5.02
- space-group type = P2/m, No. 10
- DOS(E_F) (states/eV/atom) = 0.8552
- calculated density (g cm⁻³) = 5.57

***

Entry 8:
## NdTaFeOs2 (PBE)

Data for a relaxed structure of NdTaFeOs2.

Lattice parameters (Å, degrees): 4.2146 4.2146 10.9388 90.00 90.00 90.00
Sites, in units of the cell vectors:
1 Nd 0.0000 0.0000 0.0000
2 Nd 0.5000 0.5000 0.5000
3 Ta 0.0000 0.5000 0.7500
4 Ta 0.5000 0.0000 0.2500
5 Fe 0.0000 0.5000 0.2500
6 Fe 0.5000 0.0000 0.7500
7 Os 0.0000 0.0000 0.3840
8 Os 0.0000 0.0000 0.6160
9 Os 0.5000 0.5000 0.1160
10 Os 0.5000 0.5000 0.8840

Calculated values
- space-group type = I-4m2, No. 119
- DOS(E_F) (states/eV/atom) = 0.9705
- calculated density (g cm⁻³) = 13.02
- DFT formation energy (eV per formula unit) = 0.01

***

Entry 9:
## LiThCu (PBE)

Data for a relaxed structure of LiThCu.

Lattice parameters (Å, degrees): 4.5832 4.5832 3.3830 90.00 90.00 120.00
Sites, in units of the cell vectors:
1 Li 0.0000 0.0000 0.0000
2 Th 0.6667 0.3333 0.4997
3 Cu 0.3333 0.6667 0.9984

Calculated values
- space-group type = P3m1, No. 156
- energy relative to the lowest polymorph listed for this composition (meV/atom) = 59.0
- DOS(E_F) (states/eV/atom) = 0.8793
- calculated density (g cm⁻³) = 8.16
- DFT formation energy (eV per formula unit) = 0.16

***

Entry 10:
## LiZr4Cl (PBE)

Data for a relaxed structure of LiZr4Cl.

Lattice parameters (Å, degrees): 5.9061 5.9061 5.9061 60.00 60.00 60.00
Sites, in units of the cell vectors:
1 Li 0.0000 0.0000 0.0000
2 Zr 0.1143 0.6286 0.6286
3 Zr 0.6286 0.1143 0.6286
4 Zr 0.6286 0.6286 0.1143
5 Zr 0.6286 0.6286 0.6286
6 Cl 0.2500 0.2500 0.2500

Calculated values
- calculated total energy (eV per atom) = -5.75
- space-group type = F-43m, No. 216
- DOS(E_F) (states/eV/atom) = 1.3720
- calculated density (g cm⁻³) = 4.64

***

Entry 11:
## Sc3MnIr (PBE)

Data for a relaxed structure of Sc3MnIr.

Lattice parameters (Å, degrees): 5.0215 5.0215 5.0215 90.00 90.00 90.00
Sites, in units of the cell vectors:
1 Sc 0.0000 0.0000 0.5000
2 Sc 0.0000 0.5000 0.0000
3 Sc 0.5000 0.0000 0.0000
4 Mn 0.5000 0.5000 0.5000
5 Ir 0.0000 0.0000 0.0000

Calculated values
- space-group type = Pm-3m, No. 221
- energy relative to the lowest polymorph listed for this composition (meV/atom) = 0.0
- DOS(E_F) (states/eV/atom) = 1.0618
- calculated density (g cm⁻³) = 5.01
- DFT formation energy (eV per formula unit) = 0.25

***

Entry 12:
## PmBiCl6 (PBE)

Data for a relaxed structure of PmBiCl6.

Lattice parameters (Å, degrees): 7.4038 7.4038 7.4038 55.01 55.01 55.01
Sites, in units of the cell vectors:
1 Pm 0.0000 0.0000 0.0000
2 Bi 0.5000 0.5000 0.5000
3 Cl 0.0924 0.7501 0.4076
4 Cl 0.2499 0.5924 0.9076
5 Cl 0.4076 0.0924 0.7501
6 Cl 0.5924 0.9076 0.2499
7 Cl 0.7501 0.4076 0.0924
8 Cl 0.9076 0.2499 0.5924

Calculated values
- calculated total energy (eV per atom) = -4.06
- space-group type = R-3, No. 148
- DOS(E_F) (states/eV/atom) = 0.0000
- calculated density (g cm⁻³) = 3.71

***

Entry 13:
## SrMoPt (PBE)

Data for a relaxed structure of SrMoPt.

Lattice parameters (Å, degrees): 4.5330 11.6257 5.2438 90.00 90.00 90.00
Sites, in units of the cell vectors:
1 Sr 0.0000 0.2128 0.2500
2 Sr 0.0000 0.7872 0.7500
3 Sr 0.5000 0.2872 0.7500
4 Sr 0.5000 0.7128 0.2500
5 Mo 0.0000 0.5000 0.0000
6 Mo 0.0000 0.5000 0.5000
7 Mo 0.5000 0.0000 0.0000
8 Mo 0.5000 0.0000 0.5000
9 Pt 0.0000 0.0576 0.7500
10 Pt 0.0000 0.9424 0.2500
11 Pt 0.5000 0.4424 0.2500
12 Pt 0.5000 0.5576 0.7500

Calculated values
- space-group type = Cmcm, No. 63
- energy relative to the lowest polymorph listed for this composition (meV/atom) = 0.0
- DOS(E_F) (states/eV/atom) = 0.7465
- calculated density (g cm⁻³) = 9.10
- DFT formation energy (eV per formula unit) = -0.40

***

| no. | total magnetic moment (μB per formula unit) |
| --- | --- |
| 1 | 0.0 |
| 2 | 0.0 |
| 3 | 0.0 |
| 4 | 1.9 |
| 5 | 1.7 |
| 6 | 0.6 |
| 7 | 1.0 |
| 8 | 2.5 |
| 9 | 0.0 |
| 10 | 0.0 |
| 11 | 4.0 |
| 12 | 0.0 |
| 13 | 0.0 |